[1]
The following is a GGA-PBE calculation of crystalline Dy2RuO at its relaxed geometry, from Alexandria via LeMat-Bulk.

The space group is R-3m (No. 166, hexagonal axes) and the conventional cell measures 3.4251, 3.4251 and 21.1074 Å, with angles of 90.00, 90.00 and 120.00 degrees. The inequivalent atoms are Dy at (0.0000, 0.0000, 0.2380), Ru at (0.0000, 0.0000, 0.0000) and O at (0.0000, 0.0000, 0.5000).

The uncorrected formation energy is -1442 meV/atom. As for the density of states at the Fermi level: 3.03 states/eV/f.u. The calculation puts the volume at 17.87 A^3/atom. The excess energy over the best structure of this formula in the dataset is 0.0 kJ per mole of atoms. The crystal system is trigonal.

[2]
The following is a GGA-PBE calculation of crystalline Dy12Ru3O5 at its relaxed geometry, from Alexandria via LeMat-Bulk.

The space group is Ia-3d (No. 230) and the conventional cell measures 15.119, 15.119 and 15.119 Å, with angles of 90.00, 90.00 and 90.00 degrees. The inequivalent atoms are Dy at (0.032, 0.056, 0.652), Ru at (0.000, 0.250, 0.125), O at (0.000, 0.000, 0.000) and O at (0.000, 0.250, 0.375).

The uncorrected formation energy is -1542 meV/atom. As for the density of states at the Fermi level: 14.15 states/eV/f.u. The calculation puts the volume at 21.60 A^3/atom. The crystal system is cubic.

[3]
The following is a GGA-PBE calculation of crystalline Dy2RuO at its relaxed geometry, from Alexandria via LeMat-Bulk.

The space group is P4/mmm (No. 123) and the conventional cell measures 3.199, 3.199 and 6.709 Å, with angles of 90.00, 90.00 and 90.00 degrees. The inequivalent atoms are Dy at (0.000, 0.000, 0.237), Ru at (0.500, 0.500, 0.500) and O at (0.500, 0.500, 0.000).

The uncorrected formation energy is -1203 meV/atom. As for the density of states at the Fermi level: 0.84 states/eV/f.u. The calculation puts the volume at 17.17 A^3/atom. The excess energy over the best structure of this formula in the dataset is 23.0 kJ per mole of atoms. The crystal system is tetragonal.

[4]
The following is a GGA-PBE calculation of crystalline Dy3RuO7 at its relaxed geometry, from Alexandria via LeMat-Bulk.

The space group is C222_1 (No. 20) and the conventional cell measures 7.519, 10.495 and 7.406 Å, with angles of 90.00, 90.00 and 90.00 degrees. The inequivalent atoms are Dy at (0.031, 0.000, 0.000), Dy at (0.232, 0.269, 0.757), Ru at (0.000, 0.500, 0.000), O at (0.000, 0.130, 0.250), O at (0.000, 0.138, 0.750), O at (0.000, 0.429, 0.750), O at (0.183, 0.374, 0.038) and O at (0.203, 0.377, 0.475).

The uncorrected formation energy is -2755 meV/atom. As for the density of states at the Fermi level: 0.50 states/eV/f.u. The calculation puts the volume at 13.28 A^3/atom. The crystal system is orthorhombic.

[5]
The following is a GGA-PBE calculation of crystalline DyRuO4 at its relaxed geometry, from Alexandria via LeMat-Bulk.

The space group is I4_1/a (No. 88, origin choice 2) and the conventional cell measures 5.185, 5.185 and 11.206 Å, with angles of 90.00, 90.00 and 90.00 degrees. The inequivalent atoms are Dy at (0.000, 0.250, 0.125), Ru at (0.000, 0.250, 0.625) and O at (0.171, 0.493, 0.290).

The uncorrected formation energy is -1896 meV/atom. As for the density of states at the Fermi level: 3.16 states/eV/f.u. The calculation puts the volume at 12.55 A^3/atom. The excess energy over the best structure of this formula in the dataset is 11.5 kJ per mole of atoms. The crystal system is tetragonal.

[6]
The following is a GGA-PBE calculation of crystalline DyRu2O8 at its relaxed geometry, from Alexandria via LeMat-Bulk.

The space group is Fm-3m (No. 225) and the conventional cell measures 9.489, 9.489 and 9.489 Å, with angles of 90.00, 90.00 and 90.00 degrees. The inequivalent atoms are Dy at (0.000, 0.000, 0.000), Ru at (0.250, 0.250, 0.250) and O at (0.143, 0.143, 0.143).

The uncorrected formation energy is -1319 meV/atom. As for the density of states at the Fermi level: 8.58 states/eV/f.u. The calculation puts the volume at 19.42 A^3/atom. The crystal system is cubic.